Entry 1:
Computed, not measured: a geometry-optimized Sc2Zn2Te structure at the GGA-PBE level of DFT.

Output
Space group: No. 127
N(E_F) (states/eV per atom): 1.046
Crystal system: tetragonal
Total moment (μB per formula unit): 0.00
ΔE_f (raw) (meV/atom): -360

```
10
Lattice="-6.953 2.666 -0.391 -0.824 -1.074 7.333 1.382 3.708 0.698" Properties=species:S:1:pos:R:3 pbc="T T T"
Sc -3.039 0.001 6.011
Sc -6.371 1.522 4.529
Sc -4.738 1.591 0.931
Sc -1.406 0.070 2.413
Zn -0.725 1.522 4.912
Zn -4.401 2.596 6.489
Zn -5.670 3.777 2.728
Zn -1.994 2.704 1.151
Te 0.000 0.000 0.000
Te -3.889 0.796 3.471
```



Entry 2:
Computed, not measured: a geometry-optimized Sc2ZnTe4 structure at the GGA-PBE level of DFT.

Output
Space group: No. 227
N(E_F) (states/eV per atom): 0.063
Crystal system: cubic
Total moment (μB per formula unit): 0.00
ΔE_f (raw) (meV/atom): -990

```
14
Lattice="7.331 -0.046 4.193 -2.349 6.944 4.193 0.038 0.052 8.446" Properties=species:S:1:pos:R:3 pbc="T T T"
Sc 2.510 3.475 8.416
Sc 3.684 0.003 6.320
Sc 0.000 0.000 0.000
Sc 3.665 -0.023 2.097
Zn 4.973 4.340 12.625
Zn 0.046 2.611 4.208
Te 0.111 5.340 12.639
Te 4.909 1.610 4.194
Te 0.176 5.254 8.416
Te 1.308 1.722 6.396
Te 1.324 1.744 10.467
Te 3.712 5.229 10.437
Te 4.843 1.697 8.417
Te 3.695 5.206 6.366
```



Entry 3:
Computed, not measured: a geometry-optimized ScZn2Te structure at the GGA-PBE level of DFT.

Output
Space group: No. 166
N(E_F) (states/eV per atom): 0.553
Crystal system: trigonal
Total moment (μB per formula unit): 0.00
ΔE_f (raw) (meV/atom): -36

```
4
Lattice="6.904 -0.081 -0.049 5.751 3.821 -0.049 5.751 1.700 3.423" Properties=species:S:1:pos:R:3 pbc="T T T"
Sc 4.601 1.360 0.831
Te 13.804 4.080 2.493
Zn 18.403 5.439 3.323
Zn 9.205 2.721 1.662
```



Please write out number 3 again, unchanged.
Computed, not measured: a geometry-optimized ScZn2Te structure at the GGA-PBE level of DFT.

Output
Space group: No. 166
N(E_F) (states/eV per atom): 0.553
Crystal system: trigonal
Total moment (μB per formula unit): 0.00
ΔE_f (raw) (meV/atom): -36

```
4
Lattice="6.904 -0.081 -0.049 5.751 3.821 -0.049 5.751 1.700 3.423" Properties=species:S:1:pos:R:3 pbc="T T T"
Sc 4.601 1.360 0.831
Te 13.804 4.080 2.493
Zn 18.403 5.439 3.323
Zn 9.205 2.721 1.662
```